Compound: LaPPbF2
Source: Alexandria
Functional: meta-GGA SCAN
Structure: PBEsol geometry

```
data_LaPPbF2
_chemical_formula_sum 'La1 P1 Pb1 F2'
_cell_length_a 4.4848
_cell_length_b 4.4848
_cell_length_c 5.6810
_cell_angle_alpha 90.00
_cell_angle_beta 90.00
_cell_angle_gamma 90.00
_symmetry_space_group_name_H-M 'P 4/m m m'
_symmetry_Int_Tables_number 123
_symmetry_space_group_name_Hall '-P 4 2'
loop_
_atom_site_label
_atom_site_type_symbol
_atom_site_fract_x
_atom_site_fract_y
_atom_site_fract_z
_atom_site_occupancy
La1 La 0.0000 0.0000 0.0000 1
P1 P 0.5000 0.5000 0.0000 1
Pb1 Pb 0.5000 0.5000 0.5000 1
F1 F 0.0000 0.5000 0.5000 1
```

Computed properties:
As for the raw formation energy: -8.5 eV per formula unit. For the spin magnetization, the calculation gives 0.0 μB/cell. The mass density is 6.03 g cm⁻³. For the energy, the calculation gives -28.976 eV/atom. As for the density of states at the Fermi level: 0.269 states/eV per atom.